Record 1
Here is BeAg2Os after structural relaxation from Alexandria via LeMat-Bulk. Energies are from PBE.

Geometry as CIF:
```
data_BeAg2Os
_chemical_formula_sum 'Be2 Ag4 Os2'
_cell_length_a 3.598
_cell_length_b 3.598
_cell_length_c 10.063
_cell_angle_alpha 79.70
_cell_angle_beta 79.70
_cell_angle_gamma 90.00
_symmetry_space_group_name_H-M 'P 1'
_symmetry_Int_Tables_number 1
_symmetry_space_group_name_Hall 'P 1'
loop_
_atom_site_label
_atom_site_fract_x
_atom_site_fract_y
_atom_site_fract_z
Ag1 0.875 0.873 0.750
Ag2 0.127 0.625 0.250
Ag3 0.375 0.377 0.750
Ag4 0.623 0.125 0.250
Be1 0.250 0.750 0.500
Be2 0.500 0.500 0.000
Os1 0.000 0.000 0.000
Os2 0.750 0.250 0.500
```

Computed properties:
ΔE_f (eV/atom): 0.878
Space-group type: No. 122
V (Å³/cell): 126
Final energy (eV/f.u.): -17.14
N(E_F) (states/eV/cell): 3.48


Record 2
Here is BeAg2Os after structural relaxation from Alexandria via LeMat-Bulk. Energies are from PBE.

Geometry as CIF:
```
data_BeAg2Os
_chemical_formula_sum 'Be1 Ag2 Os1'
_cell_length_a 2.752
_cell_length_b 4.523
_cell_length_c 4.785
_cell_angle_alpha 90.00
_cell_angle_beta 90.00
_cell_angle_gamma 90.00
_symmetry_space_group_name_H-M 'P 1'
_symmetry_Int_Tables_number 1
_symmetry_space_group_name_Hall 'P 1'
loop_
_atom_site_label
_atom_site_fract_x
_atom_site_fract_y
_atom_site_fract_z
Ag1 0.500 0.500 0.000
Ag2 0.000 0.000 0.000
Os1 0.000 0.500 0.500
Be1 0.500 0.000 0.500
```

Computed properties:
ΔE_f (eV/atom): 0.567
Space-group type: No. 47
V (Å³/cell): 60
Final energy (eV/f.u.): -18.39
N(E_F) (states/eV/cell): 1.29


Record 3
Here is BeAg2Os after structural relaxation from Alexandria via LeMat-Bulk. Energies are from PBE.

Geometry as CIF:
```
data_BeAg2Os
_chemical_formula_sum 'Be1 Ag2 Os1'
_cell_length_a 5.001
_cell_length_b 5.001
_cell_length_c 2.671
_cell_angle_alpha 90.00
_cell_angle_beta 90.00
_cell_angle_gamma 116.40
_symmetry_space_group_name_H-M 'P 1'
_symmetry_Int_Tables_number 1
_symmetry_space_group_name_Hall 'P 1'
loop_
_atom_site_label
_atom_site_fract_x
_atom_site_fract_y
_atom_site_fract_z
Ag1 0.500 0.500 0.000
Ag2 0.000 0.000 0.000
Os1 0.000 0.500 0.500
Be1 0.500 0.000 0.500
```

Computed properties:
ΔE_f (eV/atom): 0.598
Space-group type: No. 65
V (Å³/cell): 60
Final energy (eV/f.u.): -18.27
N(E_F) (states/eV/cell): 1.47


Record 4
Here is Be2AgOs after structural relaxation from Alexandria via LeMat-Bulk. Energies are from PBE.

Geometry as CIF:
```
data_Be2AgOs
_chemical_formula_sum 'Be2 Ag1 Os1'
_cell_length_a 2.909
_cell_length_b 2.919
_cell_length_c 6.420
_cell_angle_alpha 63.04
_cell_angle_beta 90.00
_cell_angle_gamma 90.00
_symmetry_space_group_name_H-M 'P 1'
_symmetry_Int_Tables_number 1
_symmetry_space_group_name_Hall 'P 1'
loop_
_atom_site_label
_atom_site_fract_x
_atom_site_fract_y
_atom_site_fract_z
Ag1 0.500 0.750 0.750
Os1 0.500 0.250 0.250
Be1 0.000 0.553 0.448
Be2 0.000 0.947 0.052
```

Computed properties:
ΔE_f (eV/atom): -0.045
Space-group type: No. 10
V (Å³/cell): 49
Final energy (eV/f.u.): -21.71
N(E_F) (states/eV/cell): 1.87


Record 5
Here is Be3AgOs after structural relaxation from Alexandria via LeMat-Bulk. Energies are from PBE.

Geometry as CIF:
```
data_Be3AgOs
_chemical_formula_sum 'Be3 Ag1 Os1'
_cell_length_a 4.105
_cell_length_b 4.105
_cell_length_c 4.105
_cell_angle_alpha 90.00
_cell_angle_beta 90.00
_cell_angle_gamma 90.00
_symmetry_space_group_name_H-M 'P 1'
_symmetry_Int_Tables_number 1
_symmetry_space_group_name_Hall 'P 1'
loop_
_atom_site_label
_atom_site_fract_x
_atom_site_fract_y
_atom_site_fract_z
Os1 0.500 0.500 0.500
Be1 0.000 0.000 0.500
Be2 0.000 0.500 0.000
Be3 0.500 0.000 0.000
Ag1 0.000 0.000 0.000
```

Computed properties:
ΔE_f (eV/atom): 1.338
Space-group type: No. 221
V (Å³/cell): 69
Final energy (eV/f.u.): -18.57
N(E_F) (states/eV/cell): 1.71


Record 6
Here is BeAg2Os after structural relaxation from Alexandria via LeMat-Bulk. Energies are from PBE.

Geometry as CIF:
```
data_BeAg2Os
_chemical_formula_sum 'Be1 Ag2 Os1'
_cell_length_a 5.054
_cell_length_b 5.054
_cell_length_c 5.054
_cell_angle_alpha 136.94
_cell_angle_beta 136.94
_cell_angle_gamma 62.54
_symmetry_space_group_name_H-M 'P 1'
_symmetry_Int_Tables_number 1
_symmetry_space_group_name_Hall 'P 1'
loop_
_atom_site_label
_atom_site_fract_x
_atom_site_fract_y
_atom_site_fract_z
Ag1 0.000 0.000 0.000
Ag2 0.500 0.500 0.000
Be1 0.250 0.750 0.500
Os1 0.750 0.250 0.500
```

Computed properties:
ΔE_f (eV/atom): 0.719
Space-group type: No. 139
V (Å³/cell): 59
Final energy (eV/f.u.): -17.78
N(E_F) (states/eV/cell): 2.08